# LiCuSe2

A geometry-optimized LiCuSe2 structure (PBE, the Alexandria database).

a b c (Å): 6.571 6.571 6.571
angles (deg): 90.00 90.00 90.00
Space group F-43m (No. 216)
Symmetry-distinct sites (fractional):
Li: 0.000 0.000 0.000 (multiplicity 4)
Cu: 0.250 0.250 0.250 (multiplicity 4)
Se: 0.000 0.000 0.500 (multiplicity 4)
Se: 0.250 0.250 0.750 (multiplicity 4)

Raw total energy in eV per atom: -3.11
Density in g/cm³: 5.3